Here is a relaxed structure of PrDy2Sc6 from Alexandria via LeMat-Bulk. Energies are from GGA-PBE.

Calculated values
D(E_F), states/eV/cell: 33.0
Calculated density, g/cm³: 4.1
Formation energy from the elements, meV per atom: 860.7
SG: No. 136

Cell: 7.819 7.819 9.706 Å, 90.00 90.00 90.00°
Positions (direct):
Pr 0.500 0.500 0.000
Pr 0.000 0.000 0.500
Dy 0.500 0.500 0.332
Dy 0.500 0.500 0.668
Dy 0.000 0.000 0.168
Dy 0.000 0.000 0.832
Sc 0.739 0.739 0.165
Sc 0.739 0.739 0.835
Sc 0.736 0.736 0.500
Sc 0.764 0.236 0.000
Sc 0.761 0.239 0.335
Sc 0.761 0.239 0.665
Sc 0.239 0.761 0.335
Sc 0.239 0.761 0.665
Sc 0.236 0.764 0.000
Sc 0.264 0.264 0.500
Sc 0.261 0.261 0.165
Sc 0.261 0.261 0.835